1.
# Zr2TeAuBr, optimized geometry, DFT GGA-PBE
data_Zr2TeAuBr
_cell_length_a 5.4121
_cell_length_b 5.4121
_cell_length_c 5.1717
_cell_angle_alpha 90.00
_cell_angle_beta 90.00
_cell_angle_gamma 90.00
_symmetry_space_group_name_H-M 'P 4/m m m'
_symmetry_Int_Tables_number 123
_symmetry_space_group_name_Hall '-P 4 2'
loop_
_atom_site_label
_atom_site_type_symbol
_atom_site_fract_x
_atom_site_fract_y
_atom_site_fract_z
Zr1 Zr 0.0000 0.5000 0.0000
Te1 Te 0.0000 0.0000 0.0000
Au1 Au 0.0000 0.0000 0.5000
Br1 Br 0.5000 0.5000 0.5000
# raw formation energy = 2.8 eV per formula unit
# calculated volume = 30.297 Å³ per atom


2.
# KRbCa2Rh, optimized geometry, DFT GGA-PBE
data_KRbCa2Rh
_cell_length_a 5.6075
_cell_length_b 5.6075
_cell_length_c 6.6837
_cell_angle_alpha 90.00
_cell_angle_beta 90.00
_cell_angle_gamma 90.00
_symmetry_space_group_name_H-M 'P 4/m m m'
_symmetry_Int_Tables_number 123
_symmetry_space_group_name_Hall '-P 4 2'
loop_
_atom_site_label
_atom_site_type_symbol
_atom_site_fract_x
_atom_site_fract_y
_atom_site_fract_z
K1 K 0.0000 0.0000 0.0000
Rb1 Rb 0.5000 0.5000 0.0000
Ca1 Ca 0.0000 0.5000 0.5000
Rh1 Rh 0.0000 0.0000 0.5000
# offset from the most stable computed form = 0.00 eV per formula unit
# formation energy from the elements = 41 meV/atom
# calculated volume = 42.032 Å³ per atom


3.
# SrMg2Si, optimized geometry, DFT GGA-PBE
data_SrMg2Si
_cell_length_a 4.6005
_cell_length_b 4.6005
_cell_length_c 9.6244
_cell_angle_alpha 90.00
_cell_angle_beta 90.00
_cell_angle_gamma 90.00
_symmetry_space_group_name_H-M 'I 4/m m m'
_symmetry_Int_Tables_number 139
_symmetry_space_group_name_Hall '-I 4 2'
loop_
_atom_site_label
_atom_site_type_symbol
_atom_site_fract_x
_atom_site_fract_y
_atom_site_fract_z
Sr1 Sr 0.0000 0.0000 0.0000
Mg1 Mg 0.0000 0.5000 0.2500
Si1 Si 0.0000 0.0000 0.5000
# raw formation energy = 0.2 eV per formula unit
# calculated volume = 25.462 Å³ per atom


4.
# KMnMoAs2, optimized geometry, DFT GGA-PBE
data_KMnMoAs2
_cell_length_a 4.9455
_cell_length_b 4.9455
_cell_length_c 5.0597
_cell_angle_alpha 90.00
_cell_angle_beta 90.00
_cell_angle_gamma 90.00
_symmetry_space_group_name_H-M 'P 4/m m m'
_symmetry_Int_Tables_number 123
_symmetry_space_group_name_Hall '-P 4 2'
loop_
_atom_site_label
_atom_site_type_symbol
_atom_site_fract_x
_atom_site_fract_y
_atom_site_fract_z
K1 K 0.0000 0.0000 0.0000
Mn1 Mn 0.5000 0.5000 0.0000
Mo1 Mo 0.5000 0.5000 0.5000
As1 As 0.0000 0.5000 0.5000
# formation energy from the elements = 231 meV/atom
# calculated volume = 24.750 Å³ per atom


5.
# LiInAgGe, optimized geometry, DFT GGA-PBE
data_LiInAgGe
_cell_length_a 6.7444
_cell_length_b 6.7444
_cell_length_c 6.7444
_cell_angle_alpha 90.00
_cell_angle_beta 90.00
_cell_angle_gamma 90.00
_symmetry_space_group_name_H-M 'F -4 3 m'
_symmetry_Int_Tables_number 216
_symmetry_space_group_name_Hall 'F -4 2 3'
loop_
_atom_site_label
_atom_site_type_symbol
_atom_site_fract_x
_atom_site_fract_y
_atom_site_fract_z
Li1 Li 0.0000 0.0000 0.0000
In1 In 0.2500 0.2500 0.2500
Ag1 Ag 0.0000 0.0000 0.5000
Ge1 Ge 0.2500 0.2500 0.7500
# formation energy from the elements = -57 meV/atom
# calculated volume = 19.174 Å³ per atom


6.
# Li3Pm2GaCu12, optimized geometry, DFT GGA-PBE
data_Li3Pm2GaCu12
_cell_length_a 8.6967
_cell_length_b 8.6967
_cell_length_c 12.5355
_cell_angle_alpha 90.00
_cell_angle_beta 90.00
_cell_angle_gamma 120.00
_symmetry_space_group_name_H-M 'R -3 m'
_symmetry_Int_Tables_number 166
_symmetry_space_group_name_Hall '-R 3 2"'
loop_
_atom_site_label
_atom_site_type_symbol
_atom_site_fract_x
_atom_site_fract_y
_atom_site_fract_z
Li1 Li 0.0000 0.5000 0.0000
Pm1 Pm 0.0000 0.0000 0.2220
Ga1 Ga 0.0000 0.0000 0.5000
Cu1 Cu 0.0230 0.5115 0.2125
Cu2 Cu 0.0533 0.5267 0.5994
# formation energy from the elements = 15 meV/atom
# calculated volume = 15.205 Å³ per atom


7.
# Pm4HAu2, optimized geometry, DFT GGA-PBE
data_Pm4HAu2
_cell_length_a 6.8040
_cell_length_b 7.1304
_cell_length_c 7.8499
_cell_angle_alpha 90.00
_cell_angle_beta 106.68
_cell_angle_gamma 90.00
_symmetry_space_group_name_H-M 'P 1 21/m 1'
_symmetry_Int_Tables_number 11
loop_
_symmetry_equiv_pos_as_xyz
'x,y,z'
'-x,-y,-z'
'-x,y+1/2,-z'
'x,-y+1/2,z'
loop_
_atom_site_label
_atom_site_type_symbol
_atom_site_fract_x
_atom_site_fract_y
_atom_site_fract_z
Pm1 Pm 0.0036 0.0026 0.2520
Pm2 Pm 0.4150 0.7500 0.1015
Pm3 Pm 0.4224 0.7500 0.6080
H1 H 0.2293 0.7500 0.8059
Au1 Au 0.2256 0.2500 0.0516
Au2 Au 0.2283 0.2500 0.5619
# offset from the most stable computed form = 0.00 eV per formula unit
# calculated volume = 26.058 Å³ per atom


8.
# Mn2NbGa2, optimized geometry, DFT GGA-PBE
data_Mn2NbGa2
_cell_length_a 4.0743
_cell_length_b 4.0743
_cell_length_c 9.0557
_cell_angle_alpha 90.00
_cell_angle_beta 90.00
_cell_angle_gamma 90.00
_symmetry_space_group_name_H-M 'I 4/m m m'
_symmetry_Int_Tables_number 139
_symmetry_space_group_name_Hall '-I 4 2'
loop_
_atom_site_label
_atom_site_type_symbol
_atom_site_fract_x
_atom_site_fract_y
_atom_site_fract_z
Mn1 Mn 0.0000 0.0000 0.1043
Nb1 Nb 0.0000 0.0000 0.5000
Ga1 Ga 0.0000 0.5000 0.2500
# offset from the most stable computed form = 1.56 eV per formula unit
# formation energy from the elements = 235 meV/atom
# calculated volume = 15.033 Å³ per atom


9.
# SbPd6S2, optimized geometry, DFT GGA-PBE
data_SbPd6S2
_cell_length_a 13.9450
_cell_length_b 3.2790
_cell_length_c 8.1225
_cell_angle_alpha 90.00
_cell_angle_beta 124.98
_cell_angle_gamma 90.00
_symmetry_space_group_name_H-M 'C 1 2/m 1'
_symmetry_Int_Tables_number 12
loop_
_symmetry_equiv_pos_as_xyz
'x,y,z'
'-x,-y,-z'
'-x,y,-z'
'x,-y,z'
'x+1/2,y+1/2,z'
'-x+1/2,-y+1/2,-z'
'-x+1/2,y+1/2,-z'
'x+1/2,-y+1/2,z'
loop_
_atom_site_label
_atom_site_type_symbol
_atom_site_fract_x
_atom_site_fract_y
_atom_site_fract_z
Sb1 Sb 0.0000 0.0000 0.0000
Pd1 Pd 0.0339 0.0000 0.3607
Pd2 Pd 0.1488 0.5000 0.9725
Pd3 Pd 0.2360 0.0000 0.3470
S1 S 0.1608 0.0000 0.7146
# raw formation energy = -1.7 eV per formula unit
# calculated volume = 16.906 Å³ per atom


10.
# AcY2Tm4, optimized geometry, DFT GGA-PBE
data_AcY2Tm4
_cell_length_a 7.1184
_cell_length_b 8.6637
_cell_length_c 8.8585
_cell_angle_alpha 114.66
_cell_angle_beta 101.51
_cell_angle_gamma 101.82
_symmetry_space_group_name_H-M 'P 1'
_symmetry_Int_Tables_number 1
loop_
_symmetry_equiv_pos_as_xyz
'x,y,z'
loop_
_atom_site_label
_atom_site_type_symbol
_atom_site_fract_x
_atom_site_fract_y
_atom_site_fract_z
Ac1 Ac 0.0000 0.0000 0.0000
Ac2 Ac 0.3073 0.6744 0.5599
Y1 Y 0.2163 0.1436 0.7129
Y2 Y 0.5275 0.8328 0.2755
Y3 Y 0.7998 0.6668 0.5363
Y4 Y 0.8841 0.4133 0.1377
Tm1 Tm 0.0298 0.8357 0.2897
Tm2 Tm 0.1094 0.5625 0.8840
Tm3 Tm 0.3909 0.4125 0.1433
Tm4 Tm 0.4185 0.2376 0.4210
Tm5 Tm 0.5090 0.0199 0.0157
Tm6 Tm 0.6123 0.5626 0.8810
Tm7 Tm 0.7081 0.1330 0.7067
Tm8 Tm 0.9110 0.2403 0.4220
# formation energy from the elements = 55 meV/atom
# calculated volume = 32.880 Å³ per atom


11.
# CdSF2, optimized geometry, DFT GGA-PBE
data_CdSF2
_cell_length_a 3.4264
_cell_length_b 3.4264
_cell_length_c 24.1497
_cell_angle_alpha 90.00
_cell_angle_beta 90.00
_cell_angle_gamma 120.00
_symmetry_space_group_name_H-M 'R -3 m'
_symmetry_Int_Tables_number 166
_symmetry_space_group_name_Hall '-R 3 2"'
loop_
_atom_site_label
_atom_site_type_symbol
_atom_site_fract_x
_atom_site_fract_y
_atom_site_fract_z
Cd1 Cd 0.0000 0.0000 0.0000
S1 S 0.0000 0.0000 0.5000
F1 F 0.0000 0.0000 0.2883
# offset from the most stable computed form = 0.00 eV per formula unit
# raw formation energy = -3.9 eV per formula unit
# calculated volume = 20.462 Å³ per atom


Question: Among the records above, which one has the lowest calculated volume?
Answer: Mn2NbGa2


Question: Which of these has the highest calculated volume?
Answer: KRbCa2Rh


Question: Which of these has the lowest calculated volume?
Answer: Mn2NbGa2